1.
First-principles (PBEsol) data for a relaxed Mg2MnSi crystal, as listed in Alexandria.

The structure in POSCAR format:
```
Mg2MnSi
1.0
3.0289 0.0000 0.0000
0.0000 3.0289 0.0000
0.0000 0.0000 6.9386
Mg Mn Si
2 1 1
Direct
0.0000 0.0000 0.9584 Mg
0.5000 0.5000 0.2981 Mg
0.0000 0.0000 0.5562 Mn
0.5000 0.5000 0.6873 Si
```

D(E_F) = 0.38 states/eV per atom
Formation energy (no corrections) = -40 meV/atom
Density = 3.434 g cm⁻³
Uncorrected energy = -19.1 eV for the cell shown
M_tot = 0.19 μB/atom

=====

2.
First-principles (PBEsol) data for a relaxed MgIn2 crystal, as listed in Alexandria.

The structure in POSCAR format:
```
MgIn2
1.0
-0.9280 -2.8465 1.3914
0.7701 -1.6090 -2.7781
6.1130 1.3319 2.8848
Mg In
1 2
Direct
0.0000 0.0000 0.0000 Mg
0.6627 0.6627 0.3254 In
0.3373 0.3373 0.6746 In
```

Calculated formation energy = -0.069 eV/atom
D(E_F) = 0.41 states/eV per atom
Density = 5.968 g cm⁻³
Uncorrected energy = -7.9 eV for the cell shown
M_tot = 0.00 μB/atom